1.
Here is a relaxed ZnP2S2 crystal from Alexandria via LeMat-Bulk. Energies are from PBE.

- Raw total energy: -3.154 eV per atom
- Polymorph energy (0 for the lowest one): 0.2794 eV per atom
- Space group: P4/mmm, No. 123

a b c (Å): 4.5531 4.5531 4.5611
angles (deg): 90.00 90.00 90.00
Element x y z (fractional)
Zn 0.0000 0.0000 0.0000
P 0.0000 0.5000 0.5000
P 0.5000 0.0000 0.5000
S 0.5000 0.5000 0.0000
S 0.5000 0.5000 0.5000

---

2.
Here is a relaxed ZnP2S2 crystal from Alexandria via LeMat-Bulk. Energies are from PBE.

- Raw total energy: -3.028 eV per atom
- Polymorph energy (0 for the lowest one): 0.4056 eV per atom
- Space group: P4/mmm, No. 123

a b c (Å): 4.5643 4.5643 4.6580
angles (deg): 90.00 90.00 90.00
Element x y z (fractional)
Zn 0.0000 0.0000 0.0000
P 0.0000 0.0000 0.5000
P 0.5000 0.5000 0.5000
S 0.0000 0.5000 0.0000
S 0.5000 0.0000 0.0000

---

3.
Here is a relaxed Zn2PS crystal from Alexandria via LeMat-Bulk. Energies are from PBE.

- Raw total energy: -3.310 eV per atom
- Space group: I-42d, No. 122

a b c (Å): 6.6245 6.6245 6.6245
angles (deg): 130.89 130.89 71.99
Element x y z (fractional)
Zn 0.1232 0.6250 0.9982
Zn 0.3750 0.3732 0.4982
Zn 0.6268 0.1250 0.0018
Zn 0.8750 0.8768 0.5018
P 0.0000 0.0000 0.0000
P 0.7500 0.2500 0.5000
S 0.2500 0.7500 0.5000
S 0.5000 0.5000 0.0000

---

4.
Here is a relaxed ZnP2S4 crystal from Alexandria via LeMat-Bulk. Energies are from PBE.

- Raw total energy: -3.890 eV per atom
- Space group: I4/m, No. 87

a b c (Å): 5.8469 5.8469 5.8469
angles (deg): 107.38 107.38 113.75
Element x y z (fractional)
Zn 0.0000 0.0000 0.0000
P 0.2500 0.7500 0.5000
P 0.7500 0.2500 0.5000
S 0.1657 0.3122 0.4779
S 0.3122 0.8343 0.1466
S 0.6878 0.1657 0.8534
S 0.8343 0.6878 0.5221

---

5.
Here is a relaxed ZnPS3 crystal from Alexandria via LeMat-Bulk. Energies are from PBE.

- Raw total energy: -4.030 eV per atom
- Space group: C2/c, No. 15

a b c (Å): 8.7329 8.7329 7.6110
angles (deg): 108.79 108.79 94.10
Element x y z (fractional)
Zn 0.1574 0.8426 0.7500
Zn 0.2584 0.7416 0.2500
Zn 0.7416 0.2584 0.7500
Zn 0.8426 0.1574 0.2500
P 0.1064 0.4668 0.7505
P 0.4668 0.1064 0.2505
P 0.5332 0.8936 0.7495
P 0.8936 0.5332 0.2495
S 0.0479 0.7717 0.3945
S 0.0502 0.3721 0.2585
S 0.2216 0.4672 0.0356
S 0.2283 0.9521 0.1055
S 0.3721 0.0502 0.7585
S 0.4672 0.2216 0.5356
S 0.5328 0.7784 0.4644
S 0.6279 0.9498 0.2415
S 0.7717 0.0479 0.8945
S 0.7784 0.5328 0.9644
S 0.9498 0.6279 0.7415
S 0.9521 0.2283 0.6055

---

6.
Here is a relaxed ZrZnP2S crystal from Alexandria via LeMat-Bulk. Energies are from PBE.

- Raw total energy: -4.553 eV per atom
- Polymorph energy (0 for the lowest one): 0.1501 eV per atom
- Space group: P4/mmm, No. 123

a b c (Å): 4.5308 4.5308 4.6531
angles (deg): 90.00 90.00 90.00
Element x y z (fractional)
Zr 0.0000 0.0000 0.0000
Zn 0.5000 0.5000 0.5000
P 0.0000 0.5000 0.5000
P 0.5000 0.0000 0.5000
S 0.5000 0.5000 0.0000

---

7.
Here is a relaxed ZrZnPS2 crystal from Alexandria via LeMat-Bulk. Energies are from PBE.

- Raw total energy: -4.493 eV per atom
- Polymorph energy (0 for the lowest one): 0.2642 eV per atom
- Space group: P4/mmm, No. 123

a b c (Å): 4.5768 4.5768 4.5855
angles (deg): 90.00 90.00 90.00
Element x y z (fractional)
Zr 0.0000 0.0000 0.0000
Zn 0.5000 0.5000 0.5000
P 0.5000 0.5000 0.0000
S 0.0000 0.5000 0.5000
S 0.5000 0.0000 0.5000

---

8.
Here is a relaxed ZrZnP2S crystal from Alexandria via LeMat-Bulk. Energies are from PBE.

- Raw total energy: -4.704 eV per atom
- Polymorph energy (0 for the lowest one): 0.0000 eV per atom
- Space group: P4/mmm, No. 123

a b c (Å): 5.0873 5.0873 4.9106
angles (deg): 90.00 90.00 90.00
Element x y z (fractional)
Zr 0.0000 0.0000 0.0000
Zn 0.5000 0.5000 0.5000
P 0.0000 0.5000 0.0000
P 0.5000 0.0000 0.0000
S 0.0000 0.0000 0.5000